Y2ThSc: relaxed, PBE-GGA.

a = 4.901 Å, b = 4.901 Å, c = 5.033 Å
α = 90.00°, β = 90.00°, γ = 90.00°
Positions (direct):
Y 0.000 0.500 0.000
Y 0.500 0.000 0.000
Th 0.000 0.000 0.500
Sc 0.500 0.500 0.500

Summary:
DFT formation energy: 0.052 eV/atom
theoretical density: 6.25 g/cm³
excess energy over the best structure of this formula in the dataset: 0.017 eV/atom
crystal system: tetragonal